Entry 1:
DFT (PBE) results for a relaxed Tb3DyRu crystal.

Output
Its crystal system is monoclinic. The polymorph energy (0 for the lowest one) is 0.000 eV per atom. Its energy of formation is -1.03 eV per formula unit.

abc: 7.2615 7.2615 7.2669
angles: 108.33 111.92 108.17
Closest atoms and distances in Å follow each position.
Sites, in units of the cell vectors:
Dy (0.7038, 0.0525, 0.7563)  1 Ru 2.66
Dy (0.2962, 0.9475, 0.2437)  1 Ru 2.66
Ru (0.6230, 0.7501, 0.3731)  1 Dy 2.66, 3 Tb 2.66
Tb (0.7581, 0.5537, 0.7063)  1 Ru 2.66
Tb (0.1526, 0.9482, 0.7063)  1 Ru 2.66
Tb (0.7058, 0.4477, 0.1535)  1 Ru 2.66
Tb (0.2942, 0.5523, 0.8465)  1 Ru 2.66
Tb (0.8474, 0.0518, 0.2937)  1 Ru 2.66
Tb (0.2419, 0.4463, 0.2937)  1 Ru 2.66
Ru (0.3770, 0.2499, 0.6269)  1 Dy 2.66, 3 Tb 2.66


Entry 2:
DFT (PBE) results for a relaxed YAuNO2 crystal.

Output
The total energy comes out at -0.203 Ha/atom. Its crystal system is tetragonal.

abc: 4.3252 4.3252 4.6119
angles: 90.00 90.00 90.00
Closest atoms and distances in Å follow each position.
Sites, in units of the cell vectors:
Au (0.5000, 0.5000, 0.5000)  4 N 3.06, 8 O 3.16
N (0.0000, 0.0000, 0.5000)  2 Y 2.31
Y (0.0000, 0.0000, 0.0000)  4 O 2.16, 2 N 2.31
O (0.0000, 0.5000, 0.0000)  2 Y 2.16
O (0.5000, 0.0000, 0.0000)  2 Y 2.16


Entry 3:
DFT (PBE) results for a relaxed HgPtCl crystal.

Output
Its crystal system is orthorhombic. The polymorph energy (0 for the lowest one) is 0.138 eV per atom.

abc: 7.0828 6.6446 3.3663
angles: 83.17 68.67 28.16
Closest atoms and distances in Å follow each position.
Sites, in units of the cell vectors:
Hg (0.6715, 0.6715, 0.3285)  2 Pt 2.70, 2 Cl 2.85
Cl (0.9898, 0.9898, 0.0102)  2 Pt 2.54
Pt (0.3387, 0.3387, 0.6613)  2 Cl 2.54, 2 Hg 2.70